DFT (PBE) results for an optimized crystal structure of LaHfAlCr2.

Cell: 4.602 4.602 5.338 Å, 90.00 90.00 90.00°
Atoms (fractional coordinates):
La1 0.000 0.000 0.000
Hf1 0.500 0.500 0.500
Al1 0.000 0.000 0.500
Cr1 0.000 0.500 0.000
Cr2 0.500 0.000 0.000

- mass density (g/cm³) = 6.6
- E_tot (eV/atom) = -5.95

DFT (PBE) results for an optimized crystal structure of BeInSb2.

Cell: 3.432 3.432 8.040 Å, 90.00 90.00 90.00°
Atoms (fractional coordinates):
Be1 0.000 0.000 0.000
In1 0.000 0.000 0.500
Sb1 0.500 0.500 0.183
Sb2 0.500 0.500 0.817

- ΔE to the lowest computed polymorph (eV/f.u.) = 1.03
- mass density (g/cm³) = 6.4
- ΔE_f (raw) (meV/atom) = 350

DFT (PBE) results for an optimized crystal structure of ScAg2SnS4.

Cell: 8.357 7.194 6.792 Å, 90.00 90.00 90.00°
Atoms (fractional coordinates):
Sc1 0.000 0.170 0.000
Sc2 0.500 0.830 0.500
Ag1 0.250 0.315 0.508
Ag2 0.250 0.685 0.008
Ag3 0.750 0.315 0.508
Ag4 0.750 0.685 0.008
Sn1 0.000 0.819 0.494
Sn2 0.500 0.181 0.994
S1 0.000 0.154 0.364
S2 0.000 0.850 0.874
S3 0.235 0.344 0.883
S4 0.265 0.656 0.383
S5 0.500 0.150 0.374
S6 0.500 0.846 0.864
S7 0.735 0.656 0.383
S8 0.765 0.344 0.883

- mass density (g/cm³) = 4.1
- ΔE_f (raw) (meV/atom) = -637

DFT (PBE) results for an optimized crystal structure of DyEr4Rh2.

Cell: 7.768 6.308 7.829 Å, 90.00 112.62 90.00°
Atoms (fractional coordinates):
Dy1 0.026 0.250 0.160
Dy2 0.974 0.750 0.840
Er1 0.238 0.502 0.588
Er2 0.238 0.998 0.588
Er3 0.335 0.750 0.249
Er4 0.383 0.250 0.017
Er5 0.617 0.750 0.983
Er6 0.665 0.250 0.751
Er7 0.762 0.002 0.412
Er8 0.762 0.498 0.412
Rh1 0.011 0.250 0.742
Rh2 0.411 0.250 0.374
Rh3 0.589 0.750 0.626
Rh4 0.989 0.750 0.258

- mass density (g/cm³) = 9.7
- E_tot (eV/atom) = -5.87